Ho3Fe8Ni | PBE | optimized geometry

```
data_Ho3Fe8Ni
_chemical_formula_sum 'Ho9 Fe24 Ni3'
_symmetry_space_group_name_H-M 'R -3 m'
_symmetry_Int_Tables_number 166
_symmetry_space_group_name_Hall '-R 3 2"'
_cell_length_a 5.0190
_cell_length_b 5.0190
_cell_length_c 24.3713
_cell_angle_alpha 90.00
_cell_angle_beta 90.00
_cell_angle_gamma 120.00
loop_
_atom_site_label
_atom_site_fract_x
_atom_site_fract_y
_atom_site_fract_z
Ho1 0.0000 0.0000 0.0000
Ho2 0.0000 0.0000 0.1418
Fe1 0.0000 0.0000 0.3331
Fe2 0.0017 0.5008 0.9187
Ni1 0.0000 0.0000 0.5000
```

Summary:
* electronic total energy: -261.6 eV per cell

***

HoFe3Ni2 | PBE | optimized geometry

```
data_HoFe3Ni2
_chemical_formula_sum 'Ho2 Fe6 Ni4'
_symmetry_space_group_name_H-M 'C m m m'
_symmetry_Int_Tables_number 65
_symmetry_space_group_name_Hall '-C 2 2'
_cell_length_a 5.0133
_cell_length_b 8.4834
_cell_length_c 3.9300
_cell_angle_alpha 90.00
_cell_angle_beta 90.00
_cell_angle_gamma 90.00
loop_
_atom_site_label
_atom_site_fract_x
_atom_site_fract_y
_atom_site_fract_z
Ho1 0.0000 0.0000 0.0000
Fe1 0.0000 0.3407 0.0000
Fe2 0.0000 0.5000 0.5000
Ni1 0.2500 0.2500 0.5000
```

Summary:
* electronic total energy: -83.2 eV per cell
* excess energy over the best structure of this formula in the dataset: 0.0 meV/atom

***

HoFe3Ni2 | PBE | optimized geometry

```
data_HoFe3Ni2
_chemical_formula_sum 'Ho1 Fe3 Ni2'
_symmetry_space_group_name_H-M 'P 6/m m m'
_symmetry_Int_Tables_number 191
_symmetry_space_group_name_Hall '-P 6 2'
_cell_length_a 4.8740
_cell_length_b 4.8740
_cell_length_c 4.0521
_cell_angle_alpha 90.00
_cell_angle_beta 90.00
_cell_angle_gamma 120.00
loop_
_atom_site_label
_atom_site_fract_x
_atom_site_fract_y
_atom_site_fract_z
Ho1 0.0000 0.0000 0.0000
Fe1 0.0000 0.5000 0.5000
Ni1 0.3333 0.6667 0.0000
```

Summary:
* electronic total energy: -41.6 eV per cell
* excess energy over the best structure of this formula in the dataset: 7.4 meV/atom

***

HoFe2Ni3 | PBE | optimized geometry

```
data_HoFe2Ni3
_chemical_formula_sum 'Ho1 Fe2 Ni3'
_symmetry_space_group_name_H-M 'P 6/m m m'
_symmetry_Int_Tables_number 191
_symmetry_space_group_name_Hall '-P 6 2'
_cell_length_a 4.9294
_cell_length_b 4.9294
_cell_length_c 3.9204
_cell_angle_alpha 90.00
_cell_angle_beta 90.00
_cell_angle_gamma 120.00
loop_
_atom_site_label
_atom_site_fract_x
_atom_site_fract_y
_atom_site_fract_z
Ho1 0.0000 0.0000 0.0000
Fe1 0.3333 0.6667 0.0000
Ni1 0.0000 0.5000 0.5000
```

Summary:
* electronic total energy: -39.1 eV per cell
* excess energy over the best structure of this formula in the dataset: 37.8 meV/atom

***

HoFe4Ni | PBE | optimized geometry

```
data_HoFe4Ni
_chemical_formula_sum 'Ho2 Fe8 Ni2'
_symmetry_space_group_name_H-M 'C m m m'
_symmetry_Int_Tables_number 65
_symmetry_space_group_name_Hall '-C 2 2'
_cell_length_a 4.8625
_cell_length_b 8.7513
_cell_length_c 3.9090
_cell_angle_alpha 90.00
_cell_angle_beta 90.00
_cell_angle_gamma 90.00
loop_
_atom_site_label
_atom_site_fract_x
_atom_site_fract_y
_atom_site_fract_z
Ho1 0.0000 0.0000 0.0000
Fe1 0.0000 0.3241 0.0000
Fe2 0.2500 0.2500 0.5000
Ni1 0.0000 0.5000 0.5000
```

Summary:
* electronic total energy: -88.0 eV per cell

***

YHo2Fe7Ni2 | PBE | optimized geometry

```
data_YHo2Fe7Ni2
_chemical_formula_sum 'Y3 Ho6 Fe21 Ni6'
_symmetry_space_group_name_H-M 'R -3 m'
_symmetry_Int_Tables_number 166
_symmetry_space_group_name_Hall '-R 3 2"'
_cell_length_a 4.9798
_cell_length_b 4.9798
_cell_length_c 24.6552
_cell_angle_alpha 90.00
_cell_angle_beta 90.00
_cell_angle_gamma 120.00
loop_
_atom_site_label
_atom_site_fract_x
_atom_site_fract_y
_atom_site_fract_z
Y1 0.0000 0.0000 0.0000
Ho1 0.0000 0.0000 0.1417
Fe1 0.0000 0.0000 0.5000
Fe2 0.0004 0.5002 0.0824
Ni1 0.0000 0.0000 0.3326
```

Summary:
* electronic total energy: -259.7 eV per cell

***

YHo2Fe3Ni6 | PBE | optimized geometry

```
data_YHo2Fe3Ni6
_chemical_formula_sum 'Y3 Ho6 Fe9 Ni18'
_symmetry_space_group_name_H-M 'R -3 m'
_symmetry_Int_Tables_number 166
_symmetry_space_group_name_Hall '-R 3 2"'
_cell_length_a 5.0084
_cell_length_b 5.0084
_cell_length_c 24.0553
_cell_angle_alpha 90.00
_cell_angle_beta 90.00
_cell_angle_gamma 120.00
loop_
_atom_site_label
_atom_site_fract_x
_atom_site_fract_y
_atom_site_fract_z
Y1 0.0000 0.0000 0.0000
Ho1 0.0000 0.0000 0.1389
Fe1 0.0000 0.0000 0.3333
Fe2 0.0000 0.0000 0.5000
Ni1 0.0006 0.5003 0.9174
```

Summary:
* electronic total energy: -232.4 eV per cell

***

Y2HoFe2Ni7 | PBE | optimized geometry

```
data_Y2HoFe2Ni7
_chemical_formula_sum 'Y6 Ho3 Fe6 Ni21'
_symmetry_space_group_name_H-M 'R -3 m'
_symmetry_Int_Tables_number 166
_symmetry_space_group_name_Hall '-R 3 2"'
_cell_length_a 4.9709
_cell_length_b 4.9709
_cell_length_c 24.3049
_cell_angle_alpha 90.00
_cell_angle_beta 90.00
_cell_angle_gamma 120.00
loop_
_atom_site_label
_atom_site_fract_x
_atom_site_fract_y
_atom_site_fract_z
Y1 0.0000 0.0000 0.1386
Ho1 0.0000 0.0000 0.0000
Fe1 0.0000 0.0000 0.3327
Ni1 0.0000 0.0000 0.5000
Ni2 0.0010 0.5005 0.0809
```

Summary:
* electronic total energy: -231.5 eV per cell

***

Y2HoFe3Ni6 | PBE | optimized geometry

```
data_Y2HoFe3Ni6
_chemical_formula_sum 'Y6 Ho3 Fe9 Ni18'
_symmetry_space_group_name_H-M 'R -3 m'
_symmetry_Int_Tables_number 166
_symmetry_space_group_name_Hall '-R 3 2"'
_cell_length_a 5.0107
_cell_length_b 5.0107
_cell_length_c 24.1006
_cell_angle_alpha 90.00
_cell_angle_beta 90.00
_cell_angle_gamma 120.00
loop_
_atom_site_label
_atom_site_fract_x
_atom_site_fract_y
_atom_site_fract_z
Y1 0.0000 0.0000 0.1387
Ho1 0.0000 0.0000 0.0000
Fe1 0.0000 0.0000 0.3332
Fe2 0.0000 0.0000 0.5000
Ni1 0.0003 0.5002 0.0820
```

Summary:
* electronic total energy: -237.5 eV per cell

***

YHo2Fe8Ni | PBE | optimized geometry

```
data_YHo2Fe8Ni
_chemical_formula_sum 'Y3 Ho6 Fe24 Ni3'
_symmetry_space_group_name_H-M 'R -3 m'
_symmetry_Int_Tables_number 166
_symmetry_space_group_name_Hall '-R 3 2"'
_cell_length_a 5.0263
_cell_length_b 5.0263
_cell_length_c 24.3672
_cell_angle_alpha 90.00
_cell_angle_beta 90.00
_cell_angle_gamma 120.00
loop_
_atom_site_label
_atom_site_fract_x
_atom_site_fract_y
_atom_site_fract_z
Y1 0.0000 0.0000 0.0000
Ho1 0.0000 0.0000 0.1419
Fe1 0.0000 0.0000 0.3331
Fe2 0.0014 0.5007 0.9185
Ni1 0.0000 0.0000 0.5000
```

Summary:
* electronic total energy: -267.1 eV per cell

***

YHo2Fe6Ni3 | PBE | optimized geometry

```
data_YHo2Fe6Ni3
_chemical_formula_sum 'Y3 Ho6 Fe18 Ni9'
_symmetry_space_group_name_H-M 'R -3 m'
_symmetry_Int_Tables_number 166
_symmetry_space_group_name_Hall '-R 3 2"'
_cell_length_a 4.9641
_cell_length_b 4.9641
_cell_length_c 24.7869
_cell_angle_alpha 90.00
_cell_angle_beta 90.00
_cell_angle_gamma 120.00
loop_
_atom_site_label
_atom_site_fract_x
_atom_site_fract_y
_atom_site_fract_z
Y1 0.0000 0.0000 0.0000
Ho1 0.0000 0.0000 0.1418
Fe1 0.0022 0.5011 0.9181
Ni1 0.0000 0.0000 0.3334
Ni2 0.0000 0.0000 0.5000
```

Summary:
* electronic total energy: -252.3 eV per cell

***

YHo2Fe2Ni7 | PBE | optimized geometry

```
data_YHo2Fe2Ni7
_chemical_formula_sum 'Y3 Ho6 Fe6 Ni21'
_symmetry_space_group_name_H-M 'R -3 m'
_symmetry_Int_Tables_number 166
_symmetry_space_group_name_Hall '-R 3 2"'
_cell_length_a 4.9660
_cell_length_b 4.9660
_cell_length_c 24.2450
_cell_angle_alpha 90.00
_cell_angle_beta 90.00
_cell_angle_gamma 120.00
loop_
_atom_site_label
_atom_site_fract_x
_atom_site_fract_y
_atom_site_fract_z
Y1 0.0000 0.0000 0.0000
Ho1 0.0000 0.0000 0.1389
Fe1 0.0000 0.0000 0.3329
Ni1 0.0000 0.0000 0.5000
Ni2 0.0001 0.5000 0.0819
```

Summary:
* electronic total energy: -226.3 eV per cell

***

HoFeOs | PBE | optimized geometry

```
data_HoFeOs
_chemical_formula_sum 'Ho4 Fe4 Os4'
_symmetry_space_group_name_H-M 'F -4 3 m'
_symmetry_Int_Tables_number 216
_symmetry_space_group_name_Hall 'F -4 2 3'
_cell_length_a 6.0788
_cell_length_b 6.0788
_cell_length_c 6.0788
_cell_angle_alpha 90.00
_cell_angle_beta 90.00
_cell_angle_gamma 90.00
loop_
_atom_site_label
_atom_site_fract_x
_atom_site_fract_y
_atom_site_fract_z
Ho1 0.0000 0.0000 0.0000
Fe1 0.2500 0.2500 0.2500
Os1 0.0000 0.0000 0.5000
```

Summary:
* electronic total energy: -91.4 eV per cell
* excess energy over the best structure of this formula in the dataset: 676.6 meV/atom

***

HoFeOs | PBE | optimized geometry

```
data_HoFeOs
_chemical_formula_sum 'Ho4 Fe4 Os4'
_symmetry_space_group_name_H-M 'F -4 3 m'
_symmetry_Int_Tables_number 216
_symmetry_space_group_name_Hall 'F -4 2 3'
_cell_length_a 6.2921
_cell_length_b 6.2921
_cell_length_c 6.2921
_cell_angle_alpha 90.00
_cell_angle_beta 90.00
_cell_angle_gamma 90.00
loop_
_atom_site_label
_atom_site_fract_x
_atom_site_fract_y
_atom_site_fract_z
Ho1 0.0000 0.0000 0.0000
Fe1 0.2500 0.2500 0.7500
Os1 0.2500 0.2500 0.2500
```

Summary:
* electronic total energy: -81.5 eV per cell
* excess energy over the best structure of this formula in the dataset: 1505.0 meV/atom

***

HoFeOs | PBE | optimized geometry

```
data_HoFeOs
_chemical_formula_sum 'Ho4 Fe4 Os4'
_symmetry_space_group_name_H-M 'I m m a'
_symmetry_Int_Tables_number 74
_symmetry_space_group_name_Hall '-I 2b 2'
_cell_length_a 5.1984
_cell_length_b 5.2243
_cell_length_c 7.4899
_cell_angle_alpha 90.00
_cell_angle_beta 90.00
_cell_angle_gamma 90.00
loop_
_atom_site_label
_atom_site_fract_x
_atom_site_fract_y
_atom_site_fract_z
Ho1 0.0000 0.2500 0.1269
Fe1 0.2500 0.2500 0.7500
Os1 0.0000 0.0000 0.5000
```

Summary:
* electronic total energy: -99.6 eV per cell
* excess energy over the best structure of this formula in the dataset: 0.0 meV/atom

***

Ho2FeSi4Os | PBE | optimized geometry

```
data_Ho2FeSi4Os
_chemical_formula_sum 'Ho2 Fe1 Si4 Os1'
_symmetry_space_group_name_H-M 'P 1 m 1'
_symmetry_Int_Tables_number 6
_symmetry_space_group_name_Hall 'P -2y'
_cell_length_a 4.3414
_cell_length_b 4.0035
_cell_length_c 8.0292
_cell_angle_alpha 90.00
_cell_angle_beta 102.53
_cell_angle_gamma 90.00
loop_
_atom_site_label
_atom_site_fract_x
_atom_site_fract_y
_atom_site_fract_z
Ho1 0.0000 0.0000 0.0000
Ho2 0.1866 0.5000 0.4070
Fe1 0.4891 0.5000 0.8141
Si1 0.2788 0.0000 0.7069
Si2 0.5526 0.5000 0.1008
Si3 0.6324 0.0000 0.2876
Si4 0.9463 0.5000 0.7192
Os1 0.7182 0.0000 0.5872
```

Summary:
* electronic total energy: -56.1 eV per cell

***

HoFe5P3 | PBE | optimized geometry

```
data_HoFe5P3
_chemical_formula_sum 'Ho4 Fe20 P12'
_symmetry_space_group_name_H-M 'P n m a'
_symmetry_Int_Tables_number 62
_symmetry_space_group_name_Hall '-P 2ac 2n'
_cell_length_a 11.7956
_cell_length_b 3.6405
_cell_length_c 10.2708
_cell_angle_alpha 90.00
_cell_angle_beta 90.00
_cell_angle_gamma 90.00
loop_
_atom_site_label
_atom_site_fract_x
_atom_site_fract_y
_atom_site_fract_z
Ho1 0.2045 0.2500 0.0811
Fe1 0.0096 0.7500 0.0949
Fe2 0.0115 0.7500 0.7077
Fe3 0.0674 0.7500 0.4636
Fe4 0.1767 0.2500 0.7810
Fe5 0.2013 0.2500 0.3762
P1 0.1038 0.7500 0.8994
P2 0.1127 0.2500 0.5786
P3 0.1280 0.7500 0.2660
```

Summary:
* electronic total energy: -276.4 eV per cell

***

Ho2Fe12P7 | PBE | optimized geometry

```
data_Ho2Fe12P7
_chemical_formula_sum 'Ho2 Fe12 P7'
_symmetry_space_group_name_H-M 'P -6'
_symmetry_Int_Tables_number 174
_symmetry_space_group_name_Hall 'P -6'
_cell_length_a 8.9445
_cell_length_b 8.9445
_cell_length_c 3.6226
_cell_angle_alpha 90.00
_cell_angle_beta 90.00
_cell_angle_gamma 120.00
loop_
_atom_site_label
_atom_site_fract_x
_atom_site_fract_y
_atom_site_fract_z
Ho1 0.0000 0.0000 0.0000
Ho2 0.3333 0.6667 0.5000
Fe1 0.0502 0.7651 0.5000
Fe2 0.0945 0.3885 0.0000
Fe3 0.3918 0.2142 0.0000
Fe4 0.5463 0.1174 0.5000
P1 0.0771 0.6287 0.0000
P2 0.2649 0.0436 0.5000
P3 0.6667 0.3333 0.0000
```

Summary:
* electronic total energy: -161.8 eV per cell

***

YHoFe2Pb | PBE | optimized geometry

```
data_YHoFe2Pb
_chemical_formula_sum 'Y2 Ho2 Fe4 Pb2'
_symmetry_space_group_name_H-M 'A m m 2'
_symmetry_Int_Tables_number 38
_symmetry_space_group_name_Hall 'A 2 -2'
_cell_length_a 3.8183
_cell_length_b 3.8991
_cell_length_c 14.2915
_cell_angle_alpha 90.00
_cell_angle_beta 90.00
_cell_angle_gamma 90.00
loop_
_atom_site_label
_atom_site_fract_x
_atom_site_fract_y
_atom_site_fract_z
Y1 0.0000 0.0000 0.0000
Ho1 0.0000 0.0000 0.7249
Fe1 0.5000 0.0000 0.1585
Fe2 0.5000 0.0000 0.5704
Pb1 0.5000 0.0000 0.3626
```

Summary:
* electronic total energy: -64.8 eV per cell

***

HoFePd | PBE | optimized geometry

```
data_HoFePd
_chemical_formula_sum 'Ho4 Fe4 Pd4'
_symmetry_space_group_name_H-M 'F -4 3 m'
_symmetry_Int_Tables_number 216
_symmetry_space_group_name_Hall 'F -4 2 3'
_cell_length_a 6.3602
_cell_length_b 6.3602
_cell_length_c 6.3602
_cell_angle_alpha 90.00
_cell_angle_beta 90.00
_cell_angle_gamma 90.00
loop_
_atom_site_label
_atom_site_fract_x
_atom_site_fract_y
_atom_site_fract_z
Ho1 0.0000 0.0000 0.0000
Fe1 0.2500 0.2500 0.7500
Pd1 0.2500 0.2500 0.2500
```

Summary:
* electronic total energy: -66.6 eV per cell